(1)
# TmSc5Cd2

A relaxed TmSc5Cd2 crystal (PBE, the Alexandria database).

Lattice parameters (Å, degrees): 3.376 9.731 11.939 90.00 90.00 90.00
Space group Immm (No. 71)
One atom of each set of equivalent atoms:
1 Tm 0.000 0.000 0.000
2 Sc 0.000 0.225 0.369
3 Sc 0.000 0.500 0.000
4 Cd 0.000 0.500 0.257

## Properties
Uncorrected energy, eV per atom: -4.82
Energy relative to the elements, meV per atom: -78

---

(2)
# RbCa3C4O12

A relaxed RbCa3C4O12 crystal (PBE, the Alexandria database).

Lattice parameters (Å, degrees): 10.3321 10.3321 9.3397 90.00 90.00 120.00
Space group R32 (No. 155, hexagonal axes)
One atom of each set of equivalent atoms:
1 Rb 0.0000 0.0000 0.0000
2 Ca 0.0000 0.5400 0.0000
3 C 0.0000 0.0000 0.5000
4 C 0.0000 0.4642 0.5000
5 O 0.0000 0.5908 0.5000
6 O 0.0000 0.8743 0.5000
7 O 0.0102 0.2139 0.7975

## Properties
Uncorrected energy, eV per atom: -7.21

---

(3)
# La12Y5Er

A relaxed La12Y5Er crystal (PBE, the Alexandria database).

Lattice parameters (Å, degrees): 6.383 11.066 18.104 90.00 96.66 90.00
Space group C2/m (No. 12)
One atom of each set of equivalent atoms:
1 La 0.112 0.000 0.336
2 La 0.112 0.333 0.336
3 La 0.220 0.165 0.164
4 La 0.223 0.500 0.164
5 Y 0.000 0.167 0.500
6 Y 0.000 0.333 0.000
7 Y 0.000 0.500 0.500
8 Er 0.000 0.000 0.000

## Properties
Uncorrected energy, eV per atom: -5.32
Energy relative to the elements, meV per atom: 13

---

(4)
# Th4GaBi

A relaxed Th4GaBi crystal (PBE, the Alexandria database).

Lattice parameters (Å, degrees): 16.453 6.158 7.844 90.00 106.90 90.00
Space group C2/c (No. 15)
One atom of each set of equivalent atoms:
1 Th 0.078 0.108 0.469
2 Th 0.171 0.375 0.124
3 Ga 0.250 0.250 0.500
4 Bi 0.000 0.400 0.750

## Properties
Uncorrected energy, eV per atom: -6.16
Energy relative to the elements, meV per atom: -62

---

(5)
# BaP4

A relaxed BaP4 crystal (PBE, the Alexandria database).

Lattice parameters (Å, degrees): 6.641 6.641 6.641 90.00 90.00 90.00
Space group Pm-3m (No. 221)
One atom of each set of equivalent atoms:
1 Ba 0.000 0.000 0.000
2 P 0.000 0.000 0.500
3 P 0.500 0.500 0.500

## Properties
Uncorrected energy, eV per atom: -2.73
Energy relative to the elements, meV per atom: 1983

---

(6)
# Sr2Cd12Ag3Hg

A relaxed Sr2Cd12Ag3Hg crystal (PBE, the Alexandria database).

Lattice parameters (Å, degrees): 10.0375 10.0375 19.0028 90.00 90.00 120.00
Space group R-3m (No. 166, hexagonal axes)
One atom of each set of equivalent atoms:
1 Sr 0.0000 0.0000 0.1038
2 Cd 0.0071 0.5035 0.8554
3 Cd 0.0162 0.5081 0.3146
4 Ag 0.0000 0.5000 0.0000
5 Hg 0.0000 0.0000 0.5000

## Properties
Uncorrected energy, eV per atom: -1.19
Energy relative to the elements, meV per atom: 100

---

(7)
# ThU3Pa2N6

A relaxed ThU3Pa2N6 crystal (PBE, the Alexandria database).

Lattice parameters (Å, degrees): 15.263 3.496 6.997 90.00 103.47 90.00
Space group C2/m (No. 12)
One atom of each set of equivalent atoms:
1 Th 0.000 0.000 0.000
2 U 0.000 0.000 0.500
3 U 0.166 0.500 0.833
4 Pa 0.168 0.500 0.335
5 N 0.000 0.500 0.268
6 N 0.165 0.000 0.586
7 N 0.172 0.000 0.084

## Properties
Uncorrected energy, eV per atom: -10.63

---

(8)
# Tb6CeDy2Y

A relaxed Tb6CeDy2Y crystal (PBE, the Alexandria database).

Lattice parameters (Å, degrees): 11.392 6.756 8.956 90.00 107.21 90.00
Space group C2/m (No. 12)
One atom of each set of equivalent atoms:
1 Tb 0.130 0.000 0.419
2 Tb 0.169 0.259 0.803
3 Ce 0.000 0.000 0.000
4 Dy 0.090 0.500 0.173
5 Y 0.000 0.500 0.500

## Properties
Uncorrected energy, eV per atom: -4.68
Energy relative to the elements, meV per atom: 254

---

(9)
# Ca3Bi3Rh2

A relaxed Ca3Bi3Rh2 crystal (PBE, the Alexandria database).

Lattice parameters (Å, degrees): 8.814 15.714 6.068 90.00 90.00 90.00
Space group Pnma (No. 62)
One atom of each set of equivalent atoms:
1 Ca 0.034 0.112 0.114
2 Ca 0.172 0.250 0.629
3 Bi 0.176 0.750 0.615
4 Bi 0.186 0.038 0.616
5 Rh 0.093 0.608 0.373

## Properties
Uncorrected energy, eV per atom: -4.63
Energy relative to the elements, meV per atom: -584

---

(10)
# CdNi2Sb

A relaxed CdNi2Sb crystal (PBE, the Alexandria database).

Lattice parameters (Å, degrees): 3.438 4.136 9.159 90.00 90.00 90.00
Space group Imm2 (No. 44)
One atom of each set of equivalent atoms:
1 Cd 0.000 0.000 0.000
2 Ni 0.000 0.000 0.509
3 Ni 0.000 0.500 0.774
4 Sb 0.000 0.500 0.231

## Properties
Uncorrected energy, eV per atom: -4.06

---

(11)
# Mg2ZnIn

A relaxed Mg2ZnIn crystal (PBE, the Alexandria database).

Lattice parameters (Å, degrees): 6.991 6.991 6.991 90.00 90.00 90.00
Space group F-43m (No. 216)
One atom of each set of equivalent atoms:
1 Mg 0.000 0.000 0.000
2 Mg 0.250 0.250 0.250
3 Zn 0.250 0.250 0.750
4 In 0.000 0.000 0.500

## Properties
Uncorrected energy, eV per atom: -1.78
Energy relative to the elements, meV per atom: 24

---

(12)
# TbPm3Nd12

A relaxed TbPm3Nd12 crystal (PBE, the Alexandria database).

Lattice parameters (Å, degrees): 5.186 5.186 20.721 90.00 90.00 90.00
Space group P4/mmm (No. 123)
One atom of each set of equivalent atoms:
1 Tb 0.000 0.000 0.000
2 Pm 0.000 0.000 0.249
3 Pm 0.000 0.000 0.500
4 Nd 0.000 0.500 0.124
5 Nd 0.000 0.500 0.375
6 Nd 0.500 0.500 0.000
7 Nd 0.500 0.500 0.249
8 Nd 0.500 0.500 0.500

## Properties
Uncorrected energy, eV per atom: -4.74
Energy relative to the elements, meV per atom: 12

---

(13)
# YTm2Pb

A relaxed YTm2Pb crystal (PBE, the Alexandria database).

Lattice parameters (Å, degrees): 4.599 22.299 4.656 90.00 90.00 90.00
Space group Cmcm (No. 63)
One atom of each set of equivalent atoms:
1 Y 0.000 0.191 0.250
2 Tm 0.000 0.058 0.750
3 Tm 0.000 0.438 0.750
4 Pb 0.000 0.333 0.250

## Properties
Uncorrected energy, eV per atom: -5.09
Energy relative to the elements, meV per atom: -310

---

(14)
# Ac3Ga2SbPt9

A relaxed Ac3Ga2SbPt9 crystal (PBE, the Alexandria database).

Lattice parameters (Å, degrees): 7.5932 7.5932 6.9313 90.00 90.00 120.00
Space group P-3m1 (No. 164)
One atom of each set of equivalent atoms:
1 Ac 0.0000 0.0000 0.0000
2 Ac 0.3333 0.6667 0.6577
3 Ga 0.3333 0.6667 0.1518
4 Sb 0.0000 0.0000 0.5000
5 Pt 0.0000 0.5000 0.0000
6 Pt 0.1704 0.3408 0.3145

## Properties
Uncorrected energy, eV per atom: -5.71

---

(15)
# Pu2NpGe2Pd2

A relaxed Pu2NpGe2Pd2 crystal (PBE, the Alexandria database).

Lattice parameters (Å, degrees): 4.6103 4.6103 23.6020 90.00 90.00 120.00
Space group R-3m (No. 166, hexagonal axes)
One atom of each set of equivalent atoms:
1 Pu 0.0000 0.0000 0.1302
2 Np 0.0000 0.0000 0.0000
3 Ge 0.0000 0.0000 0.2640
4 Pd 0.0000 0.0000 0.4012

## Properties
Uncorrected energy, eV per atom: -9.16
Energy relative to the elements, meV per atom: -415

---

(16)
# Pr2Cu2HgPd5

A relaxed Pr2Cu2HgPd5 crystal (PBE, the Alexandria database).

Lattice parameters (Å, degrees): 9.601 9.601 4.013 90.00 90.00 90.00
Space group P4/mbm (No. 127)
One atom of each set of equivalent atoms:
1 Pr 0.179 0.321 0.000
2 Cu 0.117 0.617 0.000
3 Hg 0.000 0.000 0.000
4 Pd 0.000 0.500 0.500
5 Pd 0.068 0.789 0.500

## Properties
Uncorrected energy, eV per atom: -4.96
Energy relative to the elements, meV per atom: -558

---

(17)
# ScRuPt2

A relaxed ScRuPt2 crystal (PBE, the Alexandria database).

Lattice parameters (Å, degrees): 2.842 2.842 7.993 90.00 90.00 90.00
Space group P4mm (No. 99)
One atom of each set of equivalent atoms:
1 Sc 0.000 0.000 0.000
2 Ru 0.500 0.500 0.742
3 Pt 0.000 0.000 0.512
4 Pt 0.500 0.500 0.250

## Properties
Uncorrected energy, eV per atom: -7.29
Energy relative to the elements, meV per atom: -363

---

(18)
# Pm2DyTm3As6

A relaxed Pm2DyTm3As6 crystal (PBE, the Alexandria database).

Lattice parameters (Å, degrees): 18.003 4.134 8.260 90.00 103.19 90.00
Space group C2/m (No. 12)
One atom of each set of equivalent atoms:
1 Pm 0.166 0.000 0.332
2 Dy 0.000 0.500 0.000
3 Tm 0.000 0.500 0.500
4 Tm 0.167 0.000 0.834
5 As 0.003 0.000 0.749
6 As 0.164 0.500 0.589
7 As 0.167 0.500 0.076

## Properties
Uncorrected energy, eV per atom: -6.13
Energy relative to the elements, meV per atom: -1510

---

(19)
# PdPb2W

A relaxed PdPb2W crystal (PBE, the Alexandria database).

Lattice parameters (Å, degrees): 4.385 4.385 19.026 90.00 90.00 90.00
Space group I-42d (No. 122)
One atom of each set of equivalent atoms:
1 Pd 0.000 0.000 0.000
2 Pb 0.249 0.250 0.625
3 W 0.000 0.000 0.500

## Properties
Uncorrected energy, eV per atom: -5.43
Energy relative to the elements, meV per atom: 956

---

(20)
# Pr5DyTl4

A relaxed Pr5DyTl4 crystal (PBE, the Alexandria database).

Lattice parameters (Å, degrees): 8.509 9.354 8.843 90.00 90.00 90.00
Space group Pmmn (No. 59, origin choice 2)
One atom of each set of equivalent atoms:
1 Pr 0.009 0.057 0.234
2 Pr 0.250 0.750 0.170
3 Dy 0.250 0.250 0.585
4 Tl 0.084 0.250 0.935
5 Tl 0.250 0.584 0.499

## Properties
Uncorrected energy, eV per atom: -3.84
Energy relative to the elements, meV per atom: -45